# 1
First-principles (PBE) data for a geometry-optimized V2TcNi9 structure, as listed in Alexandria.

Summary:
Fermi-level density of states: 0.86 states/eV/atom
formation energy: -66.5 meV per atom

abc: 3.587 3.587 10.759
angles: 90.00 90.00 90.00
Each line ends with the local moment (μB).
Fractional positions:
1 Ni 0.000 0.500 0.173  0.26
2 Ni 0.500 0.500 0.663  0.04
3 Ni 0.500 0.500 0.337  0.04
4 Ni 0.500 0.000 0.173  0.26
5 Ni 0.500 0.000 0.827  0.26
6 Ni 0.500 0.500 0.000  0.48
7 Ni 0.500 0.000 0.500  -0.01
8 Ni 0.000 0.500 0.500  -0.01
9 Ni 0.000 0.500 0.827  0.26
10 Tc 0.000 0.000 0.000  1.60
11 V 0.000 0.000 0.333  0.79
12 V 0.000 0.000 0.667  0.79

---

# 2
First-principles (PBE) data for a geometry-optimized SiTe3Pd structure, as listed in Alexandria.

Summary:
Fermi-level density of states: 0.78 states/eV/atom
formation energy without anion corrections: 0.587 eV per atom
polymorph energy (0 for the lowest one): 621.3 meV per atom

abc: 5.259 5.259 5.259
angles: 90.00 90.00 90.00
Fractional positions:
1 Pd 0.000 0.000 0.000
2 Te 0.000 0.500 0.000
3 Te 0.000 0.000 0.500
4 Te 0.500 0.000 0.000
5 Si 0.500 0.500 0.500

---

# 3
First-principles (PBE) data for a geometry-optimized Nd2HoCu3 structure, as listed in Alexandria.

Summary:
Fermi-level density of states: 0.68 states/eV/atom
formation energy: -180.3 meV per atom
polymorph energy (0 for the lowest one): 3.9 meV per atom

abc: 5.019 7.959 7.059
angles: 90.00 90.00 71.62
Fractional positions:
1 Nd 0.000 0.000 0.500
2 Nd 0.666 0.669 0.500
3 Nd 0.334 0.331 0.500
4 Nd 0.000 0.000 0.000
5 Cu 0.828 0.343 0.232
6 Cu 0.500 0.000 0.240
7 Cu 0.500 0.000 0.760
8 Cu 0.828 0.343 0.768
9 Cu 0.172 0.657 0.232
10 Cu 0.172 0.657 0.768
11 Ho 0.332 0.336 0.000
12 Ho 0.668 0.664 0.000

---

# 4
First-principles (PBE) data for a geometry-optimized ZrZnBr2 structure, as listed in Alexandria.

Summary:
Fermi-level density of states: 0.55 states/eV/atom
formation energy without anion corrections: -0.643 eV per atom
polymorph energy (0 for the lowest one): 23.0 meV per atom

abc: 8.204 8.204 4.783
angles: 73.09 73.09 23.67
Fractional positions:
1 Br 0.607 0.607 0.392
2 Br 0.893 0.893 0.108
3 Zn 0.750 0.750 0.750
4 Zr 0.250 0.250 0.250

---

# 5
First-principles (PBE) data for a geometry-optimized NdSn2Sb structure, as listed in Alexandria.

Summary:
Fermi-level density of states: 0.56 states/eV/atom
formation energy without anion corrections: -0.498 eV per atom
polymorph energy (0 for the lowest one): 0.0 meV per atom

abc: 5.032 4.682 4.682
angles: 90.00 90.00 90.00
Fractional positions:
1 Sn 0.000 0.000 0.500
2 Sn 0.000 0.500 0.000
3 Nd 0.500 0.500 0.500
4 Sb 0.500 0.000 0.000

---

# 6
First-principles (PBE) data for a geometry-optimized Rb2ScPtBr6 structure, as listed in Alexandria.

Summary:
Fermi-level density of states: 0.25 states/eV/atom
formation energy without anion corrections: -1.211 eV per atom

abc: 7.832 7.832 7.642
angles: 59.17 59.17 90.00
Each line ends with the local moment (μB).
Fractional positions:
1 Br 0.741 0.741 0.000  0.03
2 Br 0.741 0.259 0.000  0.03
3 Br 0.259 0.741 0.000  0.03
4 Br 0.756 0.756 0.488  0.04
5 Br 0.259 0.259 0.000  0.03
6 Br 0.244 0.244 0.512  0.04
7 Pt 0.000 0.000 0.000  0.65
8 Rb 0.750 0.250 0.500  0.00
9 Rb 0.250 0.750 0.500  0.00
10 Sc 0.500 0.500 0.000  0.08

---

# 7
First-principles (PBE) data for a geometry-optimized PmDy5Ho2Er structure, as listed in Alexandria.

Summary:
Fermi-level density of states: 1.55 states/eV/atom
formation energy: 154.4 meV per atom

abc: 5.580 10.313 10.578
angles: 90.00 90.00 105.69
Fractional positions:
1 Ho 0.114 0.227 0.319
2 Ho 0.891 0.782 0.238
3 Ho 0.109 0.218 0.738
4 Ho 0.886 0.773 0.819
5 Er 0.413 0.827 0.456
6 Er 0.587 0.173 0.956
7 Dy 0.521 0.042 0.238
8 Dy 0.393 0.786 0.024
9 Dy 0.700 0.399 0.207
10 Dy 0.983 0.965 0.525
11 Dy 0.479 0.958 0.738
12 Dy 0.607 0.214 0.524
13 Dy 0.282 0.563 0.306
14 Dy 0.300 0.601 0.707
15 Dy 0.017 0.035 0.025
16 Dy 0.718 0.437 0.806
17 Pm 0.799 0.598 0.511
18 Pm 0.201 0.402 0.011

---

# 8
First-principles (PBE) data for a geometry-optimized Pr2HgPb3 structure, as listed in Alexandria.

Summary:
Fermi-level density of states: 0.58 states/eV/atom
formation energy: -484.7 meV per atom

abc: 4.660 4.822 8.227
angles: 90.00 106.45 90.00
Fractional positions:
1 Pr 0.851 0.500 0.702
2 Pr 0.149 0.500 0.298
3 Pb 0.675 0.000 0.351
4 Pb 0.500 0.500 0.000
5 Pb 0.325 0.000 0.649
6 Hg 0.000 0.000 0.000

---

# 9
First-principles (PBE) data for a geometry-optimized YTm2Sn structure, as listed in Alexandria.

Summary:
Fermi-level density of states: 1.24 states/eV/atom
formation energy: -396.4 meV per atom
polymorph energy (0 for the lowest one): 31.1 meV per atom

abc: 4.786 4.769 4.769
angles: 90.00 90.00 90.00
Fractional positions:
1 Y 0.500 0.000 0.000
2 Tm 0.000 0.000 0.500
3 Tm 0.000 0.500 0.000
4 Sn 0.500 0.500 0.500

---

# 10
First-principles (PBE) data for a geometry-optimized LaPmTm2P4 structure, as listed in Alexandria.

Summary:
Fermi-level density of states: 0.10 states/eV/atom
formation energy: -1569.4 meV per atom

abc: 4.080 7.054 7.065
angles: 70.53 90.00 90.00
Fractional positions:
1 La 0.500 0.500 0.000
2 P 0.500 0.763 0.248
3 P 0.000 0.765 0.742
4 P 0.500 0.237 0.752
5 P 0.000 0.235 0.258
6 Tm 0.000 0.000 0.000
7 Tm 0.500 0.000 0.500
8 Pm 0.000 0.500 0.500

---

# 11
First-principles (PBE) data for a geometry-optimized CeSm3Ho7 structure, as listed in Alexandria.

Summary:
Fermi-level density of states: 1.80 states/eV/atom
formation energy: 197.1 meV per atom

abc: 8.638 7.021 7.021
angles: 120.00 90.00 90.00
Each line ends with the local moment (μB).
Fractional positions:
1 Ho 0.121 0.667 0.333  0.00
2 Ho 0.447 0.833 0.167  0.03
3 Ho 0.121 0.169 0.831  0.01
4 Ho 0.447 0.334 0.167  0.03
5 Ho 0.121 0.169 0.337  0.01
6 Ho 0.447 0.833 0.666  0.03
7 Ho 0.121 0.663 0.831  0.01
8 Sm 0.781 0.498 0.997  0.00
9 Sm 0.781 0.003 0.502  0.00
10 Sm 0.781 0.498 0.502  0.00
11 Ce 0.446 0.333 0.667  0.60

---

# 12
First-principles (PBE) data for a geometry-optimized AcPm5NdHo2 structure, as listed in Alexandria.

Summary:
Fermi-level density of states: 1.21 states/eV/atom
formation energy: 144.8 meV per atom

abc: 5.612 12.428 9.523
angles: 90.00 90.00 103.05
Fractional positions:
1 Ho 0.888 0.776 0.789
2 Ho 0.171 0.343 0.672
3 Ho 0.829 0.657 0.172
4 Ho 0.112 0.224 0.289
5 Ac 0.602 0.205 0.926
6 Ac 0.398 0.795 0.426
7 Nd 0.764 0.528 0.535
8 Nd 0.236 0.472 0.035
9 Pm 0.311 0.622 0.727
10 Pm 0.992 0.985 0.032
11 Pm 0.741 0.482 0.859
12 Pm 0.689 0.378 0.227
13 Pm 0.604 0.207 0.532
14 Pm 0.525 0.049 0.252
15 Pm 0.008 0.015 0.532
16 Pm 0.259 0.518 0.359
17 Pm 0.475 0.951 0.752
18 Pm 0.396 0.793 0.032

---

# 13
First-principles (PBE) data for a geometry-optimized NbPt14Rh structure, as listed in Alexandria.

Summary:
Fermi-level density of states: 1.66 states/eV/atom
formation energy: -194.4 meV per atom

abc: 5.644 5.644 7.865
angles: 90.00 90.00 90.00
Fractional positions:
1 Nb 0.875 0.875 0.500
2 Pt 0.625 0.625 0.255
3 Pt 0.875 0.875 0.000
4 Pt 0.375 0.875 0.500
5 Pt 0.375 0.875 0.000
6 Pt 0.626 0.124 0.745
7 Pt 0.124 0.626 0.255
8 Pt 0.125 0.125 0.745
9 Pt 0.125 0.125 0.255
10 Pt 0.124 0.626 0.745
11 Pt 0.626 0.124 0.255
12 Pt 0.875 0.375 0.500
13 Pt 0.375 0.375 0.000
14 Pt 0.625 0.625 0.745
15 Pt 0.875 0.375 0.000
16 Rh 0.375 0.375 0.500

---

# 14
First-principles (PBE) data for a geometry-optimized PuTh2Al structure, as listed in Alexandria.

Summary:
Fermi-level density of states: 2.69 states/eV/atom
formation energy: -45.1 meV per atom
polymorph energy (0 for the lowest one): 66.4 meV per atom

abc: 5.301 5.301 5.301
angles: 60.00 60.00 60.00
Each line ends with the local moment (μB).
Fractional positions:
1 Th 0.250 0.250 0.250  0.29
2 Th 0.750 0.750 0.750  0.29
3 Al 0.500 0.500 0.500  -0.05
4 Pu 0.000 0.000 0.000  5.58

---

# 15
First-principles (PBE) data for a geometry-optimized Na10B18H6O35 structure, as listed in Alexandria.

Summary:
Fermi-level density of states: 0.00 states/eV/atom
energy: -6.937 eV/atom

abc: 6.732 9.471 11.965
angles: 83.86 75.46 81.74
Fractional positions:
1 O 0.696 0.291 0.275
2 O 0.593 0.784 0.574
3 O 0.288 0.545 0.888
4 O 0.265 0.655 0.408
5 O 0.621 0.967 0.870
6 O 0.735 0.102 0.424
7 O 0.932 0.685 0.353
8 O 0.396 0.230 0.423
9 O 0.525 0.254 0.129
10 O 0.420 0.390 0.726
11 O 0.256 0.934 0.590
12 O 0.102 0.092 0.020
13 O 0.251 0.297 0.922
14 O 0.400 0.025 0.130
15 O 0.437 0.943 0.729
16 O 0.920 0.904 0.980
17 O 0.737 0.352 0.592
18 O 0.055 0.447 0.799
19 O 0.463 0.746 0.877
20 O 0.579 0.615 0.269
21 O 0.949 0.689 0.553
22 O 0.943 0.546 0.194
23 O 0.571 0.061 0.277
24 O 0.070 0.884 0.414
25 O 0.026 0.278 0.452
26 O 0.060 0.290 0.649
27 O 0.296 0.722 0.726
28 O 0.259 0.622 0.211
29 O 0.997 0.198 0.851
30 O 0.699 0.458 0.108
31 O 0.766 0.792 0.727
32 O 0.735 0.367 0.792
33 O 0.754 0.703 0.073
34 O 0.000 0.797 0.155
35 O 0.226 0.189 0.277
36 H 0.717 0.925 0.919
37 H 0.936 0.943 0.437
38 H 0.204 0.896 0.531
39 H 0.296 0.066 0.084
40 H 0.827 0.169 0.433
41 H 0.004 0.990 0.998
42 B 0.366 0.628 0.295
43 B 0.028 0.662 0.232
44 B 0.397 0.847 0.653
45 B 0.568 0.868 0.800
46 B 0.250 0.421 0.835
47 B 0.435 0.126 0.204
48 B 0.346 0.672 0.829
49 B 0.643 0.334 0.171
50 B 0.601 0.168 0.348
51 B 0.966 0.327 0.774
52 B 0.950 0.306 0.568
53 B 0.891 0.800 0.070
54 B 0.047 0.728 0.430
55 B 0.117 0.195 0.932
56 B 0.628 0.373 0.708
57 B 0.746 0.578 0.161
58 B 0.768 0.756 0.618
59 B 0.224 0.230 0.383
60 Na 0.221 0.560 0.613
61 Na 0.403 0.151 0.612
62 Na 0.603 0.183 0.941
63 Na 0.587 0.827 0.377
64 Na 0.777 0.465 0.384
65 Na 0.998 0.032 0.231
66 Na 0.762 0.579 0.904
67 Na 0.014 0.942 0.771
68 Na 0.243 0.427 0.088
69 Na 0.393 0.807 0.066

---

# 16
First-principles (PBE) data for a geometry-optimized K2Zn2Sb structure, as listed in Alexandria.

Summary:
Fermi-level density of states: 0.49 states/eV/atom
formation energy without anion corrections: -0.104 eV per atom
polymorph energy (0 for the lowest one): 0.0 meV per atom

abc: 7.365 7.365 5.542
angles: 90.00 90.00 90.00
Fractional positions:
1 K 0.309 0.191 0.500
2 K 0.691 0.809 0.500
3 K 0.191 0.691 0.500
4 K 0.809 0.309 0.500
5 Zn 0.120 0.380 0.000
6 Zn 0.880 0.620 0.000
7 Zn 0.380 0.880 0.000
8 Zn 0.620 0.120 0.000
9 Sb 0.500 0.500 0.000
10 Sb 0.000 0.000 0.000

---

# 17
First-principles (PBE) data for a geometry-optimized Na6CdIn3 structure, as listed in Alexandria.

Summary:
Fermi-level density of states: 0.35 states/eV/atom
formation energy: -44.2 meV per atom

abc: 3.452 12.343 13.756
angles: 101.93 90.00 90.00
Fractional positions:
1 Na 0.250 0.213 0.282
2 Na 0.750 0.344 0.111
3 Na 0.250 0.869 0.518
4 Na 0.750 0.787 0.718
5 Na 0.250 0.497 0.309
6 Na 0.750 0.731 0.295
7 Na 0.750 0.131 0.482
8 Na 0.250 0.269 0.705
9 Na 0.750 0.503 0.691
10 Na 0.750 0.810 0.085
11 Na 0.250 0.656 0.889
12 Na 0.250 0.190 0.915
13 Cd 0.750 0.041 0.717
14 Cd 0.250 0.959 0.283
15 In 0.250 0.930 0.910
16 In 0.250 0.571 0.092
17 In 0.750 0.070 0.090
18 In 0.750 0.429 0.908
19 In 0.750 0.615 0.504
20 In 0.250 0.385 0.496

---

# 18
First-principles (PBE) data for a geometry-optimized BaZr2Br structure, as listed in Alexandria.

Summary:
Fermi-level density of states: 1.14 states/eV/atom
formation energy without anion corrections: 0.000 eV per atom
polymorph energy (0 for the lowest one): 187.7 meV per atom

abc: 5.642 5.642 6.897
angles: 77.86 77.86 34.94
Fractional positions:
1 Zr 0.713 0.713 0.885
2 Zr 0.979 0.979 0.946
3 Ba 0.519 0.519 0.465
4 Br 0.290 0.290 0.204

---

# 19
First-principles (PBE) data for a geometry-optimized Ac7Nd4Tm structure, as listed in Alexandria.

Summary:
Fermi-level density of states: 1.77 states/eV/atom
formation energy: 45.3 meV per atom

abc: 7.684 6.674 11.481
angles: 73.51 60.59 90.36
Fractional positions:
1 Ac 0.500 0.000 0.000
2 Ac 0.751 0.505 0.002
3 Ac 0.249 0.495 0.998
4 Ac 0.999 0.670 0.333
5 Ac 0.001 0.330 0.667
6 Ac 0.747 0.164 0.335
7 Ac 0.253 0.836 0.665
8 Nd 0.249 0.168 0.335
9 Nd 0.751 0.832 0.665
10 Nd 0.499 0.335 0.668
11 Nd 0.501 0.665 0.332
12 Tm 0.000 0.000 0.000